First-principles (PBE) data for an optimized crystal structure of AcBiAsRh, as listed in the Alexandria database.

```
AcBiAsRh
1.0
-5.011 -1.257 0.539
-1.712 -4.617 -1.654
-1.412 -3.630 3.437
As Bi Rh Ac
1 1 1 1
direct
0.000 0.000 0.000
0.250 0.250 0.250
0.500 0.500 0.500
0.750 0.750 0.750
```

Calculated values
total moment = 0.00 μB/f.u.
energy of formation from the pure elements = -353 meV per atom
calculated total energy = -21.40 eV/cell